(1)
The following is a DFT calculation (PBE) of an optimized crystal structure of Tb4Pr3Tl4.

The space group is Immm (No. 71) and the conventional cell measures 3.758, 5.287 and 34.612 Å, with angles of 90.00, 90.00 and 90.00 degrees. The asymmetric unit holds Tb at (0.000, 0.000, 0.093), Tb at (0.000, 0.500, 0.235), Pr at (0.000, 0.000, 0.357), Pr at (0.000, 0.500, 0.500), Tl at (0.000, 0.000, 0.183) and Tl at (0.000, 0.500, 0.047).

As for the energy: -4.0155 eV/atom. The density of states at the Fermi level comes out at 1.08 states/eV/atom. The total moment comes out at 0.0 Bohr magnetons per cell. Its calculated density is 9060 kg/m³.

=====

(2)
The following is a DFT calculation (PBE) of an optimized crystal structure of TbPr4Tl.

The space group is P4/mmm (No. 123) and the conventional cell measures 3.714, 3.714 and 14.680 Å, with angles of 90.00, 90.00 and 90.00 degrees. The asymmetric unit holds Tb at (0.000, 0.000, 0.000), Pr at (0.000, 0.000, 0.352), Pr at (0.500, 0.500, 0.173) and Tl at (0.500, 0.500, 0.500).

As for the energy: -4.4558 eV/atom. The density of states at the Fermi level comes out at 1.34 states/eV/atom. The total moment comes out at 0.0 Bohr magnetons per cell. Its calculated density is 7603 kg/m³.

=====

(3)
The following is a DFT calculation (PBE) of an optimized crystal structure of Tb12Pr7Tl.

The space group is R-3 (No. 148, hexagonal axes) and the conventional cell measures 12.3924, 12.3924 and 15.5078 Å, with angles of 90.00, 90.00 and 120.00 degrees. The asymmetric unit holds Tb at (0.0327, 0.8463, 0.3084), Tb at (0.0707, 0.2584, 0.9245), Pr at (0.0000, 0.0000, 0.5000), Pr at (0.0123, 0.5801, 0.2007) and Tl at (0.0000, 0.0000, 0.0000).

As for the energy: -4.4008 eV/atom. The density of states at the Fermi level comes out at 1.71 states/eV/atom. The total moment comes out at 0.0 Bohr magnetons per cell. Its calculated density is 7482 kg/m³.

=====

(4)
The following is a DFT calculation (PBE) of an optimized crystal structure of TbPr4Tl2.

The space group is P-1 (No. 2) and the conventional cell measures 4.938, 5.957 and 8.404 Å, with angles of 98.18, 96.10 and 105.26 degrees. The asymmetric unit holds Tb at (0.000, 0.000, 0.000), Pr at (0.299, 0.940, 0.673), Pr at (0.500, 0.500, 0.000), Pr at (0.500, 0.500, 0.500) and Tl at (0.052, 0.650, 0.269).

As for the energy: -4.1499 eV/atom. The density of states at the Fermi level comes out at 1.43 states/eV/atom. The total moment comes out at 0.0 Bohr magnetons per cell. Its calculated density is 8050 kg/m³.

=====

Q: Look up the total moment of the third one.
A: 0.0 Bohr magnetons per cell